The following is a DFT calculation (GGA-PBE) of a geometry-optimized Pm3Ho4Er8 structure.

Lattice parameters (Å, degrees): 11.498 9.228 9.228 87.84 128.49 128.49
Sites, in units of the cell vectors:
Pm 0.500 0.500 0.000
Pm 0.500 0.000 0.500
Pm 0.500 0.500 0.500
Ho 0.500 0.000 0.000
Ho 0.000 0.500 0.000
Ho 0.000 0.000 0.000
Ho 0.000 0.000 0.500
Er 0.532 0.264 0.264
Er 0.000 0.637 0.363
Er 0.991 0.256 0.256
Er 0.500 0.754 0.246
Er 0.500 0.246 0.754
Er 0.009 0.744 0.744
Er 0.000 0.363 0.637
Er 0.468 0.736 0.736

Properties
As for the space group: No. 12. The calculation puts the formation energy at 6.0 eV per formula unit. As for the magnetic moment: 0.1 μB per cell. The value obtained for the density of states at the Fermi level is 2.061 states/eV/atom.